[1]
A relaxed structure of Tb2HoPuP4, computed with PBE-GGA.

Cell and atoms, written as POSCAR:
```
Tb2HoPuP4
1.0
-0.144 -3.387 -2.148
5.722 -2.262 3.183
-5.586 -2.026 3.569
Tb P Pu Ho
2 4 1 1
Direct
0.500 0.000 0.500
0.000 0.500 0.500
0.500 0.754 0.755
0.000 0.750 0.246
0.500 0.246 0.245
0.000 0.250 0.754
0.000 0.000 0.000
0.500 0.500 0.000
```

Results
M_tot = 4.9 μB/f.u.
formation energy from the elements = -1489 meV per atom
raw total energy = -61.72 eV for the cell shown
Fermi-level density of states = 11.70 states/eV per cell


[2]
A relaxed structure of YRh6, computed with PBE-GGA.

Cell and atoms, written as POSCAR:
```
YRh6
1.0
5.197 0.000 0.000
0.000 8.486 0.000
0.000 0.000 10.442
Rh Y
24 4
Direct
0.994 0.061 0.693
0.250 0.559 0.582
0.750 0.941 0.082
0.006 0.439 0.193
0.250 0.315 0.733
0.750 0.849 0.844
0.994 0.561 0.807
0.250 0.887 0.520
0.750 0.613 0.020
0.750 0.113 0.480
0.250 0.059 0.918
0.494 0.439 0.193
0.250 0.651 0.344
0.494 0.939 0.307
0.506 0.061 0.693
0.250 0.151 0.156
0.006 0.939 0.307
0.250 0.387 0.980
0.750 0.185 0.233
0.750 0.349 0.656
0.506 0.561 0.807
0.250 0.815 0.767
0.750 0.685 0.267
0.750 0.441 0.418
0.250 0.758 0.061
0.750 0.242 0.939
0.250 0.258 0.439
0.750 0.742 0.561
```

Results
M_tot = 0.0 μB/f.u.
E above lowest polymorph = 0 kJ/mol of formula units
formation energy from the elements = -220 meV per atom
raw total energy = -208.46 eV for the cell shown
Fermi-level density of states = 41.66 states/eV per cell


[3]
A relaxed structure of NaFe2S, computed with PBE-GGA.

Cell and atoms, written as POSCAR:
```
NaFe2S
1.0
7.211 0.000 0.000
0.000 7.211 0.000
3.605 3.605 2.607
Na S Fe
2 2 4
Direct
0.500 0.500 0.000
0.250 0.750 0.500
0.750 0.250 0.500
0.000 0.000 0.000
0.875 0.966 0.750
0.034 0.625 0.250
0.716 0.125 0.250
0.375 0.284 0.750
```

Results
M_tot = 5.0 μB/f.u.
raw total energy = -41.94 eV for the cell shown
raw formation energy = 0.351 eV per atom
Fermi-level density of states = 6.08 states/eV per cell


[4]
A relaxed structure of LaY2Ru, computed with PBE-GGA.

Cell and atoms, written as POSCAR:
```
LaY2Ru
1.0
6.106 -0.017 0.000
2.929 5.357 0.000
-4.517 -2.670 3.121
Y Ru La
2 1 1
Direct
0.000 0.000 0.000
0.500 0.500 0.000
0.750 0.250 0.500
0.250 0.750 0.500
```

Results
M_tot = 0.0 μB/f.u.
E above lowest polymorph = 172 kJ/mol of formula units
formation energy from the elements = 155 meV per atom
raw total energy = -26.51 eV for the cell shown
Fermi-level density of states = 4.56 states/eV per cell


[5]
A relaxed structure of HoPuAg2, computed with PBE-GGA.

Cell and atoms, written as POSCAR:
```
HoPuAg2
1.0
-4.408 0.877 2.557
-0.890 -2.373 4.507
0.061 2.709 4.404
Pu Ag Ho
1 2 1
Direct
0.500 0.500 0.500
0.250 0.250 0.250
0.750 0.750 0.750
0.000 0.000 0.000
```

Results
M_tot = 5.7 μB/f.u.
E above lowest polymorph = 16 kJ/mol of formula units
formation energy from the elements = -60 meV per atom
raw total energy = -24.85 eV for the cell shown
Fermi-level density of states = 12.03 states/eV per cell


[6]
A relaxed structure of SmHo3Er3, computed with PBE-GGA.

Cell and atoms, written as POSCAR:
```
SmHo3Er3
1.0
-5.720 -2.029 -0.782
-1.745 -2.216 -5.431
1.558 -14.354 1.908
Sm Er Ho
2 6 6
Direct
0.333 0.333 0.000
0.667 0.667 0.000
0.867 0.535 0.400
0.801 0.133 0.600
0.465 0.801 0.600
0.133 0.465 0.600
0.535 0.199 0.400
0.199 0.867 0.400
0.068 0.734 0.797
0.734 0.402 0.797
0.598 0.932 0.203
0.402 0.068 0.797
0.932 0.266 0.203
0.266 0.598 0.203
```

Results
M_tot = 0.0 μB/f.u.
E above lowest polymorph = 86 kJ/mol of formula units
formation energy from the elements = 136 meV per atom
raw total energy = -62.38 eV for the cell shown
Fermi-level density of states = 20.03 states/eV per cell


> Number 5 is which compound?

HoPuAg2